Record 1
Entry from Alexandria: SrSi2Pt at its PBEsol-relaxed geometry (SCAN).

Summary:
Crystal system ... orthorhombic
SG ... Immm, No. 71
N(E_F) ... 3.39 states/eV per cell
Energy relative to the elements, uncorrected ... -0.469 eV/atom
Mass density ... 6.427 g/cm3

The structure in extended XYZ format:
```
8
Lattice="4.151 0.000 0.000 0.000 6.057 0.000 0.000 0.000 6.964" Properties=species:S:1:pos:R:3 pbc="T T T"
Sr 0.000 0.000 0.000
Sr 2.076 3.029 3.482
Si 0.000 3.029 1.204
Si 0.000 3.029 5.760
Si 2.076 0.000 2.278
Si 2.076 0.000 4.686
Pt 0.000 0.000 3.482
Pt 2.076 3.029 0.000
```

---

Record 2
Entry from Alexandria: AsIr3 at its PBEsol-relaxed geometry (SCAN).

Summary:
Crystal system ... tetragonal
SG ... I4/mmm, No. 139
N(E_F) ... 4.69 states/eV per cell
Formation energy from the elements ... 7.37 kcal/mol of atoms
Offset from the most stable computed form ... 156 meV/atom
Mass density ... 18.632 g/cm3

The structure in extended XYZ format:
```
8
Lattice="3.948 0.000 0.000 0.000 3.948 0.000 0.000 0.000 7.450" Properties=species:S:1:pos:R:3 pbc="T T T"
As 0.000 0.000 0.000
As 1.974 1.974 3.725
Ir 0.000 0.000 3.725
Ir 0.000 1.974 1.863
Ir 0.000 1.974 5.588
Ir 1.974 0.000 1.863
Ir 1.974 0.000 5.588
Ir 1.974 1.974 0.000
```